Ac12AlSi6: relaxed, PBE-GGA.

Output
Raw formation energy (meV per atom): -396.7

```
data_Ac12AlSi6
_symmetry_space_group_name_H-M 'I m -3'
_symmetry_Int_Tables_number 204
_symmetry_space_group_name_Hall '-I 2 2 3'
_cell_length_a 10.949
_cell_length_b 10.949
_cell_length_c 10.949
_cell_angle_alpha 90.00
_cell_angle_beta 90.00
_cell_angle_gamma 90.00
loop_
_atom_site_label
_atom_site_fract_x
_atom_site_fract_y
_atom_site_fract_z
_atom_site_occupancy
Ac1 0.000 0.298 0.188 1
Al1 0.000 0.000 0.000 1
Si1 0.000 0.109 0.500 1
```